#i
## Cs3Sb4Pb2 (PBE)

Data for Cs3Sb4Pb2 after structural relaxation.

Properties
The density of states at the Fermi level is 2.7 states/eV per cell. The crystal system is monoclinic.

Lattice parameters (Å, degrees): 4.597 8.534 11.417 68.67 89.99 105.61
Sites, in units of the cell vectors:
1 Cs 0.404 0.808 0.678
2 Cs 0.000 0.000 0.000
3 Cs 0.596 0.192 0.322
4 Sb 0.718 0.437 0.951
5 Sb 0.110 0.220 0.604
6 Sb 0.890 0.780 0.396
7 Sb 0.282 0.563 0.049
8 Pb 0.285 0.570 0.351
9 Pb 0.715 0.430 0.649

---

#ii
## Cs3Sb4Pb2 (PBE)

Data for Cs3Sb4Pb2 after structural relaxation.

Properties
The density of states at the Fermi level is 1.0 states/eV per cell. The crystal system is triclinic.

Lattice parameters (Å, degrees): 5.113 7.898 11.579 63.43 77.25 71.14
Sites, in units of the cell vectors:
1 Cs 0.642 0.065 0.650
2 Cs 0.000 0.000 0.000
3 Cs 0.358 0.935 0.350
4 Sb 0.300 0.402 0.998
5 Sb 0.960 0.439 0.641
6 Sb 0.040 0.561 0.359
7 Sb 0.700 0.598 0.002
8 Pb 0.668 0.376 0.290
9 Pb 0.332 0.624 0.710

---

Most stable = #i

---

#i
## CsSb2TePb (PBE)

Data for CsSb2TePb after structural relaxation.

Properties
The density of states at the Fermi level is 5.4 states/eV per cell. The crystal system is tetragonal.

Lattice parameters (Å, degrees): 5.960 5.960 6.223 90.00 90.00 90.00
Each line ends with the local moment (μB).
Sites, in units of the cell vectors:
1 Pb 0.000 0.000 0.000  0.01
2 Cs 0.500 0.500 0.500  0.01
3 Te 0.000 0.000 0.500  0.15
4 Sb 0.000 0.500 0.000  0.23
5 Sb 0.500 0.000 0.000  0.23

---

#ii
## CsSb2TePb (PBE)

Data for CsSb2TePb after structural relaxation.

Properties
The density of states at the Fermi level is 6.8 states/eV per cell. The crystal system is tetragonal.

Lattice parameters (Å, degrees): 6.135 6.135 6.311 90.00 90.00 90.00
Sites, in units of the cell vectors:
1 Pb 0.500 0.500 0.500
2 Cs 0.000 0.000 0.000
3 Te 0.000 0.000 0.500
4 Sb 0.000 0.500 0.000
5 Sb 0.500 0.000 0.000

---

Most stable = #i

---

#i
## CsSc3Pb (PBE)

Data for CsSc3Pb after structural relaxation.

Properties
The density of states at the Fermi level is 11.7 states/eV per cell. The crystal system is cubic.

Lattice parameters (Å, degrees): 5.724 5.724 5.724 90.00 90.00 90.00
Each line ends with the local moment (μB).
Sites, in units of the cell vectors:
1 Pb 0.000 0.000 0.000  -0.01
2 Cs 0.500 0.500 0.500  0.03
3 Sc 0.000 0.500 0.000  0.27
4 Sc 0.000 0.000 0.500  0.35
5 Sc 0.500 0.000 0.000  0.24

---

#ii
## CsSc3Pb (PBE)

Data for CsSc3Pb after structural relaxation.

Properties
The density of states at the Fermi level is 7.6 states/eV per cell. The crystal system is cubic.

Lattice parameters (Å, degrees): 5.303 5.303 5.303 90.00 90.00 90.00
Sites, in units of the cell vectors:
1 Pb 0.500 0.500 0.500
2 Cs 0.000 0.000 0.000
3 Sc 0.000 0.500 0.000
4 Sc 0.000 0.000 0.500
5 Sc 0.500 0.000 0.000

---

Most stable = #i

---

#i
## CsScPb3 (PBE)

Data for CsScPb3 after structural relaxation.

Properties
The density of states at the Fermi level is 3.7 states/eV per cell. The crystal system is cubic.

Lattice parameters (Å, degrees): 5.785 5.785 5.785 90.00 90.00 90.00
Sites, in units of the cell vectors:
1 Pb 0.000 0.500 0.000
2 Pb 0.000 0.000 0.500
3 Pb 0.500 0.000 0.000
4 Cs 0.500 0.500 0.500
5 Sc 0.000 0.000 0.000

---

#ii
## CsScPb3 (PBE)

Data for CsScPb3 after structural relaxation.

Properties
The density of states at the Fermi level is 8.5 states/eV per cell. The crystal system is cubic.

Lattice parameters (Å, degrees): 6.116 6.116 6.116 90.00 90.00 90.00
Sites, in units of the cell vectors:
1 Pb 0.000 0.500 0.000
2 Pb 0.000 0.000 0.500
3 Pb 0.500 0.000 0.000
4 Cs 0.000 0.000 0.000
5 Sc 0.500 0.500 0.500

---

Most stable = #i